Entry 1:
The following is a GGA-PBE calculation of Tb2Y6Ho3 after structural relaxation, from Alexandria.

formation energy from the elements = 0.297 eV per atom
crystal system = tetragonal
DOS at the Fermi energy = 35.9 states/eV/cell

```
data_Tb2Y6Ho3
_cell_length_a 4.714
_cell_length_b 4.714
_cell_length_c 33.377
_cell_angle_alpha 90.00
_cell_angle_beta 90.00
_cell_angle_gamma 90.00
_symmetry_space_group_name_H-M 'I 4/m m m'
_symmetry_Int_Tables_number 139
_symmetry_space_group_name_Hall '-I 4 2'
loop_
_atom_site_label
_atom_site_type_symbol
_atom_site_fract_x
_atom_site_fract_y
_atom_site_fract_z
Tb1 Tb 0.000 0.000 0.045
Y1 Y 0.000 0.000 0.199
Y2 Y 0.000 0.500 0.121
Ho1 Ho 0.000 0.000 0.302
Ho2 Ho 0.000 0.000 0.500
```



Entry 2:
The following is a GGA-PBE calculation of Pm2InPPt6 after structural relaxation, from Alexandria.

formation energy from the elements = -0.831 eV per atom
crystal system = orthorhombic
DOS at the Fermi energy = 11.6 states/eV/cell

```
data_Pm2InPPt6
_cell_length_a 5.607
_cell_length_b 8.657
_cell_length_c 8.530
_cell_angle_alpha 90.00
_cell_angle_beta 90.00
_cell_angle_gamma 90.00
_symmetry_space_group_name_H-M 'P m m n'
_symmetry_Int_Tables_number 59
loop_
_symmetry_equiv_pos_as_xyz
'x,y,z'
'-x,-y,-z'
'-x+1/2,-y+1/2,z'
'x+1/2,y+1/2,-z'
'x+1/2,-y,-z'
'-x+1/2,y,z'
'-x,y+1/2,-z'
'x,-y+1/2,z'
loop_
_atom_site_label
_atom_site_type_symbol
_atom_site_fract_x
_atom_site_fract_y
_atom_site_fract_z
Pm1 Pm 0.250 0.004 0.237
In1 In 0.250 0.750 0.796
P1 P 0.250 0.250 0.725
Pt1 Pt 0.001 0.750 0.515
Pt2 Pt 0.004 0.250 0.944
Pt3 Pt 0.250 0.005 0.607
```



Entry 3:
The following is a GGA-PBE calculation of BaSr2HgPt after structural relaxation, from Alexandria.

formation energy from the elements = -0.487 eV per atom
crystal system = tetragonal
DOS at the Fermi energy = 3.1 states/eV/cell

```
data_BaSr2HgPt
_cell_length_a 5.887
_cell_length_b 5.887
_cell_length_c 6.173
_cell_angle_alpha 90.00
_cell_angle_beta 90.00
_cell_angle_gamma 90.00
_symmetry_space_group_name_H-M 'P 4/m m m'
_symmetry_Int_Tables_number 123
_symmetry_space_group_name_Hall '-P 4 2'
loop_
_atom_site_label
_atom_site_type_symbol
_atom_site_fract_x
_atom_site_fract_y
_atom_site_fract_z
Ba1 Ba 0.000 0.000 0.000
Sr1 Sr 0.000 0.500 0.500
Hg1 Hg 0.500 0.500 0.000
Pt1 Pt 0.000 0.000 0.500
```



Entry 4:
The following is a GGA-PBE calculation of RbNa2W after structural relaxation, from Alexandria.

formation energy from the elements = 1.564 eV per atom
crystal system = tetragonal
DOS at the Fermi energy = 5.9 states/eV/cell

```
data_RbNa2W
_cell_length_a 9.574
_cell_length_b 9.574
_cell_length_c 7.301
_cell_angle_alpha 90.00
_cell_angle_beta 90.00
_cell_angle_gamma 90.00
_symmetry_space_group_name_H-M 'I -4 2 d'
_symmetry_Int_Tables_number 122
_symmetry_space_group_name_Hall 'I -4 2bw'
loop_
_atom_site_label
_atom_site_type_symbol
_atom_site_fract_x
_atom_site_fract_y
_atom_site_fract_z
Rb1 Rb 0.000 0.000 0.000
Na1 Na 0.199 0.250 0.625
W1 W 0.000 0.000 0.500
```



| no. | VASP energy (eV for the cell shown) |
| --- | --- |
| 1 | -117.02 |
| 2 | -124.41 |
| 3 | -14.06 |
| 4 | -41.21 |